Computed, not measured: a relaxed structure of Li2PuPb3S6 at the PBE level of DFT.

Computed properties:
Magnetic moment   4.00 μB/f.u.
Raw formation energy   -0.930 eV per atom

Lattice parameters (Å, degrees): 6.9795 6.9795 7.0953 98.89 98.89 120.22
With the nearest neighbours (Å) after each atom.
Fractional coordinates of all 12 atoms:
Li 0.3190 0.6810 0.0000  4 S 2.69-2.74
Li 0.6810 0.3190 0.0000  4 S 2.69-2.74
Pu 0.0000 0.0000 0.0000  6 S 2.69-2.72
Pb 0.1666 0.8334 0.5000  6 S 2.88-3.09
Pb 0.8334 0.1666 0.5000  6 S 2.88-3.09
Pb 0.5000 0.5000 0.5000  6 S 2.97
S 0.9226 0.6035 0.7839  2 Li 2.69-2.74, 1 Pu 2.69, 2 Pb 2.97
S 0.7620 0.7620 0.2405  1 Pu 2.72, 3 Pb 2.88-2.97, 2 Li 3.02
S 0.0774 0.3965 0.2161  2 Li 2.69-2.74, 1 Pu 2.69, 2 Pb 2.97
S 0.6035 0.9226 0.7839  2 Li 2.69-2.74, 1 Pu 2.69, 2 Pb 2.97
S 0.2380 0.2380 0.7595  1 Pu 2.72, 3 Pb 2.88-2.97, 2 Li 3.02
S 0.3965 0.0774 0.2161  2 Li 2.69-2.74, 1 Pu 2.69, 2 Pb 2.97

=====

Computed, not measured: a relaxed structure of MnAl2Mo at the PBE level of DFT.

Computed properties:
Magnetic moment   2.68 μB/f.u.
Energy of formation from the pure elements   -0.988 kcal/mol of atoms

Lattice parameters (Å, degrees): 8.8720 8.8720 8.8720 18.15 18.15 18.15
With the nearest neighbours (Å) after each atom.
Fractional coordinates of all 4 atoms:
Mo 0.7500 0.7500 0.7500  6 Al 2.79, 6 Mo 2.80
Mn 0.2500 0.2500 0.2500  6 Al 2.64, 6 Mn 2.80
Al 0.9964 0.9964 0.9964  3 Mn 2.64, 3 Mo 2.79, 6 Al 2.80
Al 0.5036 0.5036 0.5036  3 Mn 2.64, 3 Mo 2.79, 6 Al 2.80

=====

Computed, not measured: a relaxed structure of PrV2Cl8 at the PBE level of DFT.

Computed properties:
Magnetic moment   5.00 μB/f.u.
Raw formation energy   -1.408 eV per atom

Lattice parameters (Å, degrees): 6.4945 7.8817 7.8817 72.38 85.91 85.91
With the nearest neighbours (Å) after each atom.
Fractional coordinates of all 11 atoms:
Pr 0.0000 0.0000 0.0000  6 Cl 2.79-2.80
V 0.6491 0.7950 0.7950  4 Cl 2.20-2.36
V 0.3509 0.2050 0.2050  4 Cl 2.20-2.36
Cl 0.2457 0.2950 0.9132  1 V 2.33
Cl 0.7543 0.0868 0.7050  1 V 2.33
Cl 0.2854 0.8227 0.8227  1 V 2.36
Cl 0.7146 0.1773 0.1773  1 V 2.36
Cl 0.2457 0.9132 0.2950  1 V 2.33
Cl 0.7543 0.7050 0.0868  1 V 2.33
Cl 0.8024 0.6340 0.6340  1 V 2.20
Cl 0.1976 0.3660 0.3660  1 V 2.20

=====

Computed, not measured: a relaxed structure of VCu2I4 at the PBE level of DFT.

Computed properties:
Magnetic moment   3.00 μB/f.u.
Raw formation energy   -0.127 eV per atom

Lattice parameters (Å, degrees): 6.0793 6.0793 7.6018 113.57 113.57 90.00
With the nearest neighbours (Å) after each atom.
Fractional coordinates of all 7 atoms:
V 0.5000 0.5000 0.0000  4 I 2.72
Cu 0.7500 0.2500 0.5000  4 I 2.63
Cu 0.2500 0.7500 0.5000  4 I 2.63
I 0.8829 0.3755 0.2585  2 Cu 2.63, 1 V 2.72
I 0.3755 0.8829 0.2585  2 Cu 2.63, 1 V 2.72
I 0.6245 0.6245 0.7415  2 Cu 2.63, 1 V 2.72
I 0.1171 0.1171 0.7415  2 Cu 2.63, 1 V 2.72

=====

Computed, not measured: a relaxed structure of HgRuSe at the PBE level of DFT.

Computed properties:
Magnetic moment   0.00 μB/f.u.
Excess energy over the best structure of this formula in the dataset   0.083 eV/atom
Raw formation energy   0.066 eV per atom

Lattice parameters (Å, degrees): 6.8244 6.8246 3.0334 77.16 77.16 25.68
With the nearest neighbours (Å) after each atom.
Fractional coordinates of all 3 atoms:
Hg 0.9793 0.9793 0.0207  4 Hg 3.03, 4 Ru 3.07
Ru 0.3099 0.3099 0.6901  4 Se 2.50
Se 0.7108 0.7108 0.2892  4 Ru 2.50

=====

Computed, not measured: a relaxed structure of RbTl2VTc at the PBE level of DFT.

Computed properties:
Magnetic moment   0.18 μB/f.u.
Excess energy over the best structure of this formula in the dataset   0.928 eV/atom
Energy of formation from the pure elements   60.021 kcal/mol of atoms

Lattice parameters (Å, degrees): 5.8396 4.8682 5.8396 90.00 90.00 90.00
With the nearest neighbours (Å) after each atom.
Fractional coordinates of all 5 atoms:
Tl 0.0000 0.0000 0.5000  2 Rb 2.92
Tl 0.5000 0.0000 0.0000  2 Rb 2.92
Tc 0.0000 0.5000 0.0000  2 Rb 2.43
Rb 0.0000 0.0000 0.0000  2 Tc 2.43
V 0.5000 0.5000 0.5000  8 Tl 3.80, 4 Tc 4.13

=====

| no. | total DFT energy (no corrections) (eV per atom) | N(E_F) (states/eV per cell) |
| --- | --- | --- |
| 1 | -5.434 | 8.506 |
| 2 | -6.914 | 2.874 |
| 3 | -4.844 | 5.621 |
| 4 | -3.485 | 6.380 |
| 5 | -4.288 | 1.233 |
| 6 | -2.434 | 13.066 |